Material: K3AgBr
Method: DFT, PBE
State: relaxed

## Properties
Calculated volume   49.33 Å³ per atom
Formation energy (no corrections)   -49.7 kJ/mol of atoms
DOS(E_F)   0.66 states/eV/atom

a = 6.271 Å, b = 6.271 Å, c = 6.271 Å
α = 90.00°, β = 90.00°, γ = 90.00°
Sites, in units of the cell vectors:
Br (0.000, 0.000, 0.000)
Ag (0.500, 0.500, 0.500)
K (0.500, 0.000, 0.000)
K (0.000, 0.000, 0.500)
K (0.000, 0.500, 0.000)